(1)
Density functional theory data (GGA-PBE) for Al2CrIn after structural relaxation.

ρ (g/cm³): 5.29
ΔE_f (meV/atom): 196

a = 4.955 Å, b = 4.955 Å, c = 4.862 Å
α = 79.62°, β = 79.62°, γ = 36.23°
Each line ends with the local moment (μB).
Positions (direct):
Cr: 0.508 0.508 0.472  2.65
Al: 0.993 0.993 0.017  -0.04
Al: 0.243 0.243 0.266  -0.03
In: 0.755 0.755 0.745  -0.03

***

(2)
Density functional theory data (GGA-PBE) for Al2CrIn after structural relaxation.

ρ (g/cm³): 4.85
ΔE_f (meV/atom): 622

a = 7.490 Å, b = 7.490 Å, c = 5.942 Å
α = 50.94°, β = 50.94°, γ = 90.00°
Positions (direct):
Cr: 0.500 0.500 0.000
Cr: 0.250 0.750 0.500
Al: 0.576 0.125 0.250
Al: 0.174 0.625 0.250
Al: 0.375 0.424 0.750
Al: 0.875 0.826 0.750
In: 0.000 0.000 0.000
In: 0.750 0.250 0.500

***

(3)
Density functional theory data (GGA-PBE) for AlCr3In after structural relaxation.

ρ (g/cm³): 5.21
ΔE_f (meV/atom): 1104
ΔE to the lowest computed polymorph (meV per atom): 0

a = 4.563 Å, b = 4.563 Å, c = 4.563 Å
α = 90.00°, β = 90.00°, γ = 90.00°
Each line ends with the local moment (μB).
Positions (direct):
Cr: 0.000 0.500 0.000  2.57
Cr: 0.000 0.000 0.500  2.89
Cr: 0.500 0.000 0.000  2.48
Al: 0.000 0.000 0.000  -0.07
In: 0.500 0.500 0.500  -0.16

***

(4)
Density functional theory data (GGA-PBE) for Al4CrIn after structural relaxation.

ρ (g/cm³): 4.29
ΔE_f (meV/atom): 241

a = 5.318 Å, b = 5.318 Å, c = 5.318 Å
α = 60.00°, β = 60.00°, γ = 60.00°
Each line ends with the local moment (μB).
Positions (direct):
Al: 0.874 0.375 0.375  -0.05
Al: 0.375 0.375 0.874  -0.05
Al: 0.375 0.874 0.375  -0.05
Al: 0.375 0.375 0.375  -0.05
Cr: 0.750 0.750 0.750  3.05
In: 0.000 0.000 0.000  -0.05

***

(5)
Density functional theory data (GGA-PBE) for Al2CrIn after structural relaxation.

ρ (g/cm³): 5.54
ΔE_f (meV/atom): 286

a = 4.675 Å, b = 2.820 Å, c = 5.026 Å
α = 91.25°, β = 90.00°, γ = 90.00°
Positions (direct):
Cr: 0.500 0.250 0.250
Al: 0.000 0.980 0.025
Al: 0.000 0.520 0.475
In: 0.500 0.750 0.750

***

(6)
Density functional theory data (GGA-PBE) for AlCr4In after structural relaxation.

ρ (g/cm³): 6.97
ΔE_f (meV/atom): 274

a = 4.902 Å, b = 4.902 Å, c = 4.902 Å
α = 60.00°, β = 60.00°, γ = 60.00°
Positions (direct):
Al: 0.000 0.000 0.000
Cr: 0.876 0.375 0.375
Cr: 0.375 0.375 0.876
Cr: 0.375 0.876 0.375
Cr: 0.375 0.375 0.375
In: 0.750 0.750 0.750

***

- What is the ΔE_f in the sixth record?
  274 meV/atom